Below is a geometry-optimized RbHfBr2O structure, with properties calculated at the PBE-GGA level.

Results
**Formation energy (no corrections)**: -1.2491 eV/atom
**VASP energy**: -25.47 eV per cell

Cell lengths 6.2007, 6.2007, 3.8749 Å; angles 90.00, 90.00, 90.00 degrees
Last column: nearest neighbours and their distance in Å.
Space group P4/mmm (No. 123)
Asymmetric unit:
Rb 0.0000 0.0000 0.0000 x1  8 Br 3.66, 2 Rb 3.87
Hf 0.5000 0.5000 0.0000 x1  2 O 1.94
Br 0.0000 0.5000 0.5000 x2  2 O 3.10
O 0.5000 0.5000 0.5000 x1  2 Hf 1.94



Below is a geometry-optimized Rb2HfBr2O2 structure, with properties calculated at the PBE-GGA level.

Results
**Formation energy (no corrections)**: -2.1228 eV/atom
**VASP energy**: -80.02 eV per cell

Cell lengths 4.3250, 4.3250, 17.7373 Å; angles 90.00, 90.00, 90.00 degrees
Last column: nearest neighbours and their distance in Å.
Space group I4/mmm (No. 139)
Asymmetric unit:
Rb 0.0000 0.0000 0.1151 x4  4 O 2.97, 4 Br 3.15
Hf 0.0000 0.0000 0.5000 x2  4 O 2.16
Br 0.0000 0.0000 0.3418 x4  1 Hf 2.81
O 0.0000 0.5000 0.0000 x4  2 Hf 2.16



Below is a geometry-optimized HfS2BrO8 structure, with properties calculated at the PBE-GGA level.

Results
**Formation energy (no corrections)**: -1.6345 eV/atom
**VASP energy**: -79.16 eV per cell

Cell lengths 5.3367, 5.3367, 9.3264 Å; angles 90.00, 90.00, 120.00 degrees
Last column: nearest neighbours and their distance in Å.
Space group P-3m1 (No. 164)
Asymmetric unit:
Hf 0.0000 0.0000 0.0000 x1  6 O 2.05
S 0.3333 0.6667 0.8120 x2  4 O 1.42-1.51
Br 0.0000 0.0000 0.5000 x1  6 O 3.42
O 0.1834 0.3668 0.8755 x6  1 S 1.51
O 0.3333 0.6667 0.6598 x2  1 S 1.42



Below is a geometry-optimized HfTl2Br2O2 structure, with properties calculated at the PBE-GGA level.

Results
**Formation energy (no corrections)**: -1.6530 eV/atom
**VASP energy**: -79.04 eV per cell

Cell lengths 4.3052, 4.3052, 17.9600 Å; angles 90.00, 90.00, 90.00 degrees
Last column: nearest neighbours and their distance in Å.
Space group I4/mmm (No. 139)
Asymmetric unit:
Hf 0.0000 0.0000 0.0000 x2  4 O 2.15
Tl 0.0000 0.0000 0.3871 x4  4 O 2.96, 4 Br 3.14
Br 0.0000 0.0000 0.1552 x4  1 Hf 2.79
O 0.0000 0.5000 0.0000 x4  2 Hf 2.15



Below is a geometry-optimized HfOs2Br structure, with properties calculated at the PBE-GGA level.

Results
**Formation energy (no corrections)**: 0.8801 eV/atom
**VASP energy**: -122.26 eV per cell

Cell lengths 6.5166, 6.5166, 6.5166 Å; angles 90.00, 90.00, 90.00 degrees
Last column: nearest neighbours and their distance in Å.
Space group Fm-3m (No. 225)
Asymmetric unit:
Hf 0.0000 0.0000 0.0000 x4  8 Os 2.82
Os 0.2500 0.2500 0.2500 x8  4 Hf 2.82, 4 Br 2.82
Br 0.0000 0.0000 0.5000 x4  8 Os 2.82



Below is a geometry-optimized Hf2OsBr structure, with properties calculated at the PBE-GGA level.

Results
**Formation energy (no corrections)**: 0.4106 eV/atom
**VASP energy**: -124.67 eV per cell

Cell lengths 5.8358, 5.8358, 13.3055 Å; angles 90.00, 90.00, 90.00 degrees
Last column: nearest neighbours and their distance in Å.
Space group I-42d (No. 122)
Asymmetric unit:
Hf 0.1964 0.2500 0.1250 x8  2 Os 2.49
Os 0.0000 0.0000 0.0000 x4  4 Hf 2.49
Br 0.0000 0.0000 0.5000 x4  4 Hf 2.83